# 1
VASP calculation (SCAN) on a PBEsol-optimized structure of HIr2Cl.

Cell: 4.8345 4.8345 5.6091 Å, 115.53 115.53 90.00°
Positions (direct):
Cl 0.0000 0.0000 0.0000
Cl 0.2500 0.7500 0.5000
H 0.7500 0.2500 0.5000
H 0.5000 0.5000 0.0000
Ir 0.7613 0.3750 0.2500
Ir 0.1250 0.2387 0.7500
Ir 0.4887 0.8750 0.2500
Ir 0.6250 0.5113 0.7500

Computed properties:
**DFT total energy**: -300.83 eV/cell
**Space-group type**: I-42d
**Spin magnetization**: 0.00 μB/atom
**Distance to the lowest polymorph of the same formula**: 0.0000 eV per atom

# 2
VASP calculation (SCAN) on a PBEsol-optimized structure of HIrCl2.

Cell: 5.0397 5.7798 5.0397 Å, 64.15 90.00 115.85°
Positions (direct):
Ir 0.7500 0.5000 0.7500
Ir 0.0000 0.0000 0.0000
Cl 0.3750 0.2500 0.1878
Cl 0.8750 0.2500 0.5622
Cl 0.5622 0.7500 0.3750
Cl 0.1878 0.7500 0.8750
H 0.2500 0.5000 0.2500
H 0.5000 0.0000 0.5000

Computed properties:
**DFT total energy**: -175.01 eV/cell
**Space-group type**: I-42d
**Spin magnetization**: 0.00 μB/atom

# 3
VASP calculation (SCAN) on a PBEsol-optimized structure of H3IrCl.

Cell: 3.5582 3.5582 3.5582 Å, 90.00 90.00 90.00°
Positions (direct):
Ir 0.0000 0.0000 0.0000
Cl 0.5000 0.5000 0.5000
H 0.0000 0.5000 0.0000
H 0.0000 0.0000 0.5000
H 0.5000 0.0000 0.0000

Computed properties:
**DFT total energy**: -85.93 eV/cell
**Space-group type**: Pm-3m
**Spin magnetization**: 0.26 μB/atom

# 4
VASP calculation (SCAN) on a PBEsol-optimized structure of HIr2Cl.

Cell: 4.0649 4.0649 4.0649 Å, 60.00 60.00 60.00°
Positions (direct):
Ir 0.2500 0.2500 0.2500
Ir 0.7500 0.7500 0.7500
Cl 0.5000 0.5000 0.5000
H 0.0000 0.0000 0.0000

Computed properties:
**DFT total energy**: -147.06 eV/cell
**Space-group type**: Fm-3m
**Spin magnetization**: 0.00 μB/atom
**Distance to the lowest polymorph of the same formula**: 0.8381 eV per atom

# 5
VASP calculation (SCAN) on a PBEsol-optimized structure of K2H3IrNCl5.

Cell: 7.4101 9.5023 13.4506 Å, 90.00 90.00 90.00°
Positions (direct):
H 0.1091 0.2500 0.9215
H 0.6091 0.7500 0.5785
H 0.0470 0.6616 0.0173
H 0.4530 0.8384 0.5173
H 0.9530 0.3384 0.9827
H 0.5470 0.1616 0.4827
H 0.0470 0.8384 0.0173
H 0.4530 0.6616 0.5173
H 0.3909 0.2500 0.4215
H 0.8909 0.7500 0.0785
H 0.5470 0.3384 0.4827
H 0.9530 0.1616 0.9827
Cl 0.6226 0.7500 0.7456
Cl 0.4291 0.7500 0.2935
Cl 0.5709 0.2500 0.7065
Cl 0.1957 0.0041 0.1080
Cl 0.9291 0.2500 0.2065
Cl 0.0709 0.7500 0.7935
Cl 0.3043 0.0041 0.6080
Cl 0.3043 0.4959 0.6080
Cl 0.6957 0.9959 0.3920
Cl 0.1226 0.2500 0.7544
Cl 0.3774 0.2500 0.2544
Cl 0.0491 0.2500 0.5079
Cl 0.8043 0.5041 0.8920
Cl 0.4509 0.2500 0.0079
Cl 0.1957 0.4959 0.1080
Cl 0.8043 0.9959 0.8920
Cl 0.5491 0.7500 0.9921
Cl 0.9509 0.7500 0.4921
Cl 0.8774 0.7500 0.2456
Cl 0.6957 0.5041 0.3920
K 0.6115 0.4971 0.1580
K 0.8885 0.0029 0.6580
K 0.8885 0.4971 0.6580
K 0.1115 0.9971 0.3420
K 0.3885 0.9971 0.8420
K 0.3885 0.5029 0.8420
K 0.1115 0.5029 0.3420
K 0.6115 0.0029 0.1580
N 0.9653 0.7500 0.0133
N 0.5347 0.7500 0.5133
N 0.0347 0.2500 0.9867
N 0.4653 0.2500 0.4867
Ir 0.8064 0.7500 0.8900
Ir 0.6936 0.7500 0.3900
Ir 0.1936 0.2500 0.1100
Ir 0.3064 0.2500 0.6100

Computed properties:
**DFT total energy**: -644.74 eV/cell
**Space-group type**: Pnma
**Spin magnetization**: 0.00 μB/atom

# 6
VASP calculation (SCAN) on a PBEsol-optimized structure of K2H2IrCl5O.

Cell: 7.5365 8.9184 13.5243 Å, 90.00 90.00 90.00°
Positions (direct):
H 0.4788 0.8403 0.0415
H 0.5212 0.1597 0.9585
H 0.0212 0.8403 0.5415
H 0.5212 0.3403 0.9585
H 0.9788 0.3403 0.4585
H 0.9788 0.1597 0.4585
H 0.4788 0.6597 0.0415
H 0.0212 0.6597 0.5415
Cl 0.4572 0.2500 0.5090
Cl 0.8001 0.4879 0.3996
Cl 0.6999 0.0121 0.8996
Cl 0.8612 0.7500 0.7546
Cl 0.8001 0.0121 0.3996
Cl 0.5428 0.7500 0.4910
Cl 0.3001 0.9879 0.1004
Cl 0.4300 0.7500 0.8069
Cl 0.5700 0.2500 0.1931
Cl 0.3612 0.2500 0.7454
Cl 0.6999 0.4879 0.8996
Cl 0.9572 0.7500 0.9910
Cl 0.0428 0.2500 0.0090
Cl 0.1999 0.5121 0.6004
Cl 0.9300 0.2500 0.6931
Cl 0.1999 0.9879 0.6004
Cl 0.0700 0.7500 0.3069
Cl 0.1388 0.2500 0.2454
Cl 0.6388 0.7500 0.2546
Cl 0.3001 0.5121 0.1004
K 0.3809 0.4982 0.3449
K 0.8809 0.9982 0.1551
K 0.6191 0.5018 0.6551
K 0.6191 0.9982 0.6551
K 0.1191 0.0018 0.8449
K 0.8809 0.5018 0.1551
K 0.3809 0.0018 0.3449
K 0.1191 0.4982 0.8449
O 0.4442 0.2500 0.9696
O 0.9442 0.7500 0.5304
O 0.0558 0.2500 0.4696
O 0.5558 0.7500 0.0304
Ir 0.6948 0.7500 0.8984
Ir 0.3052 0.2500 0.1016
Ir 0.1948 0.2500 0.6016
Ir 0.8052 0.7500 0.3984

Computed properties:
**DFT total energy**: -621.91 eV/cell
**Space-group type**: Pnma
**Spin magnetization**: 0.00 μB/atom

# 7
VASP calculation (SCAN) on a PBEsol-optimized structure of HIrS2Cl.

Cell: 3.5354 3.5354 5.7175 Å, 90.00 90.00 90.00°
Positions (direct):
S 0.0000 0.5000 0.0000
S 0.5000 0.0000 0.0000
H 0.0000 0.0000 0.0000
Cl 0.0000 0.0000 0.5000
Ir 0.5000 0.5000 0.5000

Computed properties:
**DFT total energy**: -95.84 eV/cell
**Space-group type**: P4/mmm
**Spin magnetization**: 0.31 μB/atom

# 8
VASP calculation (SCAN) on a PBEsol-optimized structure of KHCl2.

Cell: 4.8347 4.8347 6.5211 Å, 68.24 68.24 60.00°
Positions (direct):
K 0.5000 0.5000 0.5000
Cl 0.9122 0.9122 0.2634
Cl 0.0878 0.0878 0.7366
H 0.0000 0.0000 0.0000

Computed properties:
**DFT total energy**: -33.13 eV/cell
**Space-group type**: R-3m
**Spin magnetization**: 0.00 μB/atom

# 9
VASP calculation (SCAN) on a PBEsol-optimized structure of K2HCl.

Cell: 6.6983 6.6983 6.6983 Å, 102.05 113.30 113.30°
Positions (direct):
K 0.0438 0.8750 0.4188
K 0.4562 0.5812 0.6250
K 0.9562 0.3750 0.8312
K 0.5438 0.1688 0.1250
H 0.5000 0.2500 0.7500
H 0.0000 0.5000 0.5000
Cl 0.5000 0.7500 0.2500
Cl 0.0000 0.0000 0.0000

Computed properties:
**DFT total energy**: -65.38 eV/cell
**Space-group type**: I-42d
**Spin magnetization**: 0.01 μB/atom

# 10
VASP calculation (SCAN) on a PBEsol-optimized structure of KMnH4Cl3O2.

Cell: 6.2944 6.8706 9.1182 Å, 68.85 88.48 67.61°
Positions (direct):
O 0.2650 0.7149 0.4805
O 0.4760 0.2271 0.1645
O 0.7350 0.2851 0.5195
O 0.5240 0.7729 0.8355
Cl 0.9991 0.1490 0.1669
Cl 0.7572 0.8002 0.5018
Cl 0.5684 0.6946 0.1909
Cl 0.2428 0.1998 0.4982
Cl 0.0009 0.8510 0.8331
Cl 0.4316 0.3054 0.8091
H 0.5446 0.7536 0.9490
H 0.6575 0.4096 0.4155
H 0.9040 0.2329 0.5101
H 0.6403 0.2048 0.1849
H 0.0960 0.7671 0.4899
H 0.3597 0.7952 0.8151
H 0.3425 0.5904 0.5845
H 0.4554 0.2464 0.0510
Mn 0.3798 0.9637 0.3258
Mn 0.6202 0.0363 0.6742
K 0.0943 0.6337 0.1973
K 0.9057 0.3663 0.8027

Computed properties:
**DFT total energy**: -184.89 eV/cell
**Space-group type**: P-1
**Spin magnetization**: 0.45 μB/atom

# 11
VASP calculation (SCAN) on a PBEsol-optimized structure of K2MnH4Cl4O2.

Cell: 6.5089 6.5089 6.5089 Å, 103.65 112.46 112.46°
Positions (direct):
H 0.0000 0.4174 0.2615
H 0.1558 0.7385 0.7385
H 0.0000 0.2615 0.4174
H 0.8442 0.5826 0.5826
Cl 0.4897 0.2518 0.2518
Cl 0.0000 0.2378 0.7482
Cl 0.0000 0.7482 0.2378
Cl 0.5103 0.7622 0.7622
K 0.5000 0.2500 0.7500
K 0.5000 0.7500 0.2500
O 0.0000 0.7341 0.7341
O 0.0000 0.2659 0.2659
Mn 0.0000 0.0000 0.0000

Computed properties:
**DFT total energy**: -112.99 eV/cell
**Space-group type**: I-42m
**Spin magnetization**: 0.38 μB/atom

# 12
VASP calculation (SCAN) on a PBEsol-optimized structure of K3HPdS2Cl2O6.

Cell: 7.0170 9.1673 9.1673 Å, 110.49 90.00 90.00°
Positions (direct):
O 0.9732 0.4049 0.5639
O 0.7939 0.5624 0.1807
O 0.5785 0.5989 0.8575
O 0.4732 0.5951 0.4361
O 0.4732 0.4361 0.5951
O 0.0785 0.4011 0.1425
O 0.5785 0.8575 0.5989
O 0.9732 0.5639 0.4049
O 0.2939 0.4376 0.8193
O 0.7939 0.1807 0.5624
O 0.2939 0.8193 0.4376
O 0.0785 0.1425 0.4011
S 0.9070 0.4602 0.2413
S 0.9070 0.2413 0.4602
S 0.4070 0.7587 0.5398
S 0.4070 0.5398 0.7587
K 0.9052 0.8640 0.4234
K 0.7248 0.8793 0.8793
K 0.4052 0.1360 0.5766
K 0.2248 0.1207 0.1207
K 0.9052 0.4234 0.8640
K 0.4052 0.5766 0.1360
Cl 0.6024 0.0109 0.2312
Cl 0.1024 0.7688 0.9891
Cl 0.6024 0.2312 0.0109
Cl 0.1024 0.9891 0.7688
Pd 0.2513 0.7523 0.7523
Pd 0.7513 0.2477 0.2477
H 0.4791 0.5112 0.5112
H 0.9791 0.4888 0.4888

Computed properties:
**DFT total energy**: -316.99 eV/cell
**Space-group type**: Cmc2_1
**Spin magnetization**: 0.00 μB/atom